Rb4HoNp3S8 (GGA-PBE, optimized geometry); uncorrected formation energy = -23.7 eV/f.u.; Fermi-level density of states = 25.5 states/eV/cell; E = -6.498 eV/atom
1.0
-2.1331 6.3824 -4.7336
-7.4294 -4.4118 -2.6006
1.0968 1.0599 8.0850
Rb Ho Np S
4 1 3 8
direct
0.5000 0.0000 0.0000
0.5000 0.0000 0.5000
0.0000 0.0000 0.0000
0.0000 0.0000 0.5000
0.0000 0.5000 0.0000
0.5000 0.5000 0.0000
0.5000 0.5000 0.5000
0.0000 0.5000 0.5000
0.2290 0.6914 0.9625
0.2290 0.6915 0.4580
0.2706 0.3117 0.5412
0.7335 0.6914 0.9625
0.2665 0.3086 0.0375
0.7294 0.6883 0.4588
0.7710 0.3085 0.5420
0.7710 0.3086 0.0375